The following is a PBE calculation of Pr3TlGa2 after structural relaxation, from Alexandria via LeMat-Bulk.

It has space group P4/mmm (No. 123), with a = 3.772 Å, b = 3.772 Å, c = 11.561 Å, α = 90.00°, β = 90.00° and γ = 90.00°. The asymmetric unit holds Pr at (0.000, 0.000, 0.000), Pr at (0.000, 0.000, 0.317), Tl at (0.500, 0.500, 0.500) and Ga at (0.500, 0.500, 0.160).

Its total magnetic moment is 0.00 Bohr magnetons per cell. As for the total energy: -4.285 eV/atom. For the calculated volume, the calculation gives 27.42 Å³ per atom. The calculation puts the density of states at the Fermi level at 3.948 states/eV/cell. The calculation puts the formation energy at -0.492 eV/atom.


The following is a PBE calculation of Nd4Cd3Ir after structural relaxation, from Alexandria via LeMat-Bulk.

It has space group P4/mmm (No. 123), with a = 3.714 Å, b = 3.714 Å, c = 15.678 Å, α = 90.00°, β = 90.00° and γ = 90.00°. The asymmetric unit holds Nd at (0.000, 0.000, 0.105), Nd at (0.000, 0.000, 0.370), Cd at (0.500, 0.500, 0.243), Cd at (0.500, 0.500, 0.500) and Ir at (0.500, 0.500, 0.000).

Its total magnetic moment is 0.39 Bohr magnetons per cell. As for the total energy: -4.226 eV/atom. For the calculated volume, the calculation gives 27.03 Å³ per atom. The calculation puts the density of states at the Fermi level at 7.419 states/eV/cell. The calculation puts the formation energy at -0.391 eV/atom.


The following is a PBE calculation of Li2AlSi2 after structural relaxation, from Alexandria via LeMat-Bulk.

It has space group P4/mbm (No. 127), with a = 7.275 Å, b = 7.275 Å, c = 2.890 Å, α = 90.00°, β = 90.00° and γ = 90.00°. The asymmetric unit holds Li at (0.185, 0.315, 0.000), Al at (0.000, 0.000, 0.500) and Si at (0.114, 0.614, 0.500).

Its total magnetic moment is 0.00 Bohr magnetons per cell. As for the total energy: -3.716 eV/atom. For the calculated volume, the calculation gives 15.30 Å³ per atom. The calculation puts the density of states at the Fermi level at 2.152 states/eV/cell. Its uncorrected formation energy is -32 meV per atom.


The following is a PBE calculation of Ca2POs after structural relaxation, from Alexandria via LeMat-Bulk.

It has space group R-3m (No. 166, hexagonal axes), with a = 3.3285 Å, b = 3.3285 Å, c = 26.1774 Å, α = 90.00°, β = 90.00° and γ = 120.00°. The asymmetric unit holds Ca at (0.0000, 0.0000, 0.2491), P at (0.0000, 0.0000, 0.5000) and Os at (0.0000, 0.0000, 0.0000).

Its total magnetic moment is 0.00 Bohr magnetons per cell. As for the total energy: -4.908 eV/atom. For the calculated volume, the calculation gives 20.93 Å³ per atom. The calculation puts the density of states at the Fermi level at 10.440 states/eV/cell. The calculation puts the formation energy at 0.253 eV/atom.


The following is a PBE calculation of KMgCdGe2 after structural relaxation, from Alexandria via LeMat-Bulk.

It has space group P4/mmm (No. 123), with a = 5.096 Å, b = 5.096 Å, c = 6.230 Å, α = 90.00°, β = 90.00° and γ = 90.00°. The asymmetric unit holds K at (0.000, 0.000, 0.000), Mg at (0.000, 0.000, 0.500), Cd at (0.500, 0.500, 0.000) and Ge at (0.000, 0.500, 0.500).

Its total magnetic moment is 0.00 Bohr magnetons per cell. As for the total energy: -2.094 eV/atom. For the calculated volume, the calculation gives 32.36 Å³ per atom. The calculation puts the density of states at the Fermi level at 3.295 states/eV/cell. The calculation puts the formation energy at 0.475 eV/atom.


The following is a PBE calculation of La2ThZrP4 after structural relaxation, from Alexandria via LeMat-Bulk.

It has space group P2/m (No. 10), with a = 7.062 Å, b = 4.091 Å, c = 7.155 Å, α = 90.00°, β = 109.21° and γ = 90.00°. The asymmetric unit holds La at (0.000, 0.000, 0.000), La at (0.500, 0.500, 0.000), Th at (0.000, 0.500, 0.500), Zr at (0.500, 0.000, 0.500), P at (0.258, 0.000, 0.733) and P at (0.269, 0.500, 0.274).

Its total magnetic moment is 0.00 Bohr magnetons per cell. As for the total energy: -7.422 eV/atom. For the calculated volume, the calculation gives 24.40 Å³ per atom. The calculation puts the density of states at the Fermi level at 4.146 states/eV/cell. The calculation puts the formation energy at -1.489 eV/atom.